This record from Alexandria via LeMat-Bulk describes crystalline Tb2LuRe at its relaxed geometry. The functional is GGA-PBE.

Computed properties:
Uncorrected energy   -5.763 eV per atom
E_form   3.18 eV per formula unit
N(E_F)   1.593 states/eV per atom

a = 3.2161 Å, b = 3.2161 Å, c = 33.7661 Å
α = 90.00°, β = 90.00°, γ = 120.00°
Last column: nearest neighbours and their distance in Å.
Space group R-3m (No. 166, hexagonal axes)
Symmetry-distinct sites (fractional):
Tb 0.0000 0.0000 0.0798 [6 per cell]  1 Re 2.69
Lu 0.0000 0.0000 0.5000 [3 per cell]  6 Lu 3.22, 6 Tb 3.47
Re 0.0000 0.0000 0.0000 [3 per cell]  2 Tb 2.69